Density functional theory data (GGA-PBE) for crystalline Ho5SbSe4 at its relaxed geometry.

Unit cell a=4.1416 b=5.8281 c=10.8713 alpha=105.55 beta=100.98 gamma=90.00
Positions (direct):
Ho  0.6062  0.1062  0.2123
Ho  0.8007  0.3007  0.6014
Ho  0.1993  0.6993  0.3986
Ho  0.0000  0.5000  0.0000
Ho  0.3938  0.8938  0.7877
Sb  0.0000  0.0000  0.0000
Se  0.3991  0.3991  0.7981
Se  0.7967  0.7967  0.5933
Se  0.2033  0.2033  0.4067
Se  0.6009  0.6009  0.2019

Values from the calculation:
final energy	-5.6903	eV/atom
formation energy without anion corrections	-1.60	eV per atom
DOS at the Fermi energy	4.038	states/eV per cell

Density functional theory data (GGA-PBE) for crystalline LiCdTe2N at its relaxed geometry.

Unit cell a=5.8915 b=5.8915 c=4.1191 alpha=90.00 beta=90.00 gamma=90.00
Each line ends with the local moment (μB).
Positions (direct):
N  0.0000  0.0000  0.5000  1.09
Te  0.0000  0.5000  0.0000  0.18
Te  0.5000  0.0000  0.0000  0.18
Li  0.5000  0.5000  0.5000  0.00
Cd  0.0000  0.0000  0.0000  0.04

Values from the calculation:
final energy	-2.7629	eV/atom
formation energy without anion corrections	0.72	eV per atom
offset from the most stable computed form	6	meV per atom
DOS at the Fermi energy	4.534	states/eV per cell

Density functional theory data (GGA-PBE) for crystalline CaLaSmEr at its relaxed geometry.

Unit cell a=5.8540 b=5.8540 c=5.8540 alpha=60.00 beta=60.00 gamma=60.00
Positions (direct):
Ca  0.2500  0.2500  0.2500
La  0.0000  0.0000  0.0000
Sm  0.5000  0.5000  0.5000
Er  0.7500  0.7500  0.7500

Values from the calculation:
formation energy from the elements	0.12	eV/atom
final energy	-3.9359	eV/atom
DOS at the Fermi energy	6.623	states/eV per cell

Density functional theory data (GGA-PBE) for crystalline CaZnSb at its relaxed geometry.

Unit cell a=4.4535 b=5.3314 c=7.8772 alpha=106.95 beta=90.00 gamma=114.69
Positions (direct):
Ca  0.5000  0.0000  0.5000
Ca  0.0000  0.0000  0.0000
Zn  0.1590  0.3180  0.3845
Zn  0.8410  0.6820  0.6155
Sb  0.7568  0.5136  0.2388
Sb  0.2432  0.4864  0.7612

Values from the calculation:
final energy	-2.9111	eV/atom
formation energy without anion corrections	-0.45	eV per atom
DOS at the Fermi energy	2.075	states/eV per cell

Density functional theory data (GGA-PBE) for crystalline AcCuSi2Pd at its relaxed geometry.

Unit cell a=4.3464 b=4.3464 c=5.8849 alpha=111.67 beta=111.67 gamma=90.00
Positions (direct):
Ac  0.0000  0.0000  0.0000
Cu  0.2500  0.7500  0.5000
Si  0.6233  0.6233  0.2466
Si  0.3767  0.3767  0.7534
Pd  0.7500  0.2500  0.5000

Values from the calculation:
final energy	-5.5279	eV/atom
formation energy without anion corrections	-0.68	eV per atom
DOS at the Fermi energy	2.012	states/eV per cell

Density functional theory data (GGA-PBE) for crystalline TmGa3Pd at its relaxed geometry.

Unit cell a=4.2053 b=8.2124 c=10.7564 alpha=90.00 beta=90.00 gamma=90.00
Positions (direct):
Tm  0.7500  0.8032  0.0114
Tm  0.2500  0.6968  0.5114
Tm  0.7500  0.3032  0.4886
Tm  0.2500  0.1968  0.9886
Ga  0.2500  0.5759  0.0976
Ga  0.7500  0.4241  0.9024
Ga  0.2500  0.0759  0.4024
Ga  0.7500  0.9241  0.5976
Ga  0.2500  0.3966  0.6806
Ga  0.7500  0.1034  0.1806
Ga  0.2500  0.8966  0.8194
Ga  0.7500  0.6271  0.7051
Ga  0.2500  0.3729  0.2949
Ga  0.7500  0.1271  0.7949
Ga  0.7500  0.6034  0.3194
Ga  0.2500  0.8729  0.2051
Pd  0.2500  0.0959  0.6430
Pd  0.2500  0.5959  0.8570
Pd  0.7500  0.4041  0.1430
Pd  0.7500  0.9041  0.3570

Values from the calculation:
formation energy from the elements	-0.62	eV/atom
final energy	-4.3727	eV/atom
offset from the most stable computed form	0	meV per atom
DOS at the Fermi energy	6.266	states/eV per cell

Density functional theory data (GGA-PBE) for crystalline Mn2PtPb at its relaxed geometry.

Unit cell a=4.9484 b=4.9484 c=4.9430 alpha=129.80 beta=129.80 gamma=73.81
Each line ends with the local moment (μB).
Positions (direct):
Mn  0.0000  0.0000  0.0000  3.67
Mn  0.5000  0.5000  0.0000  3.67
Pb  0.7500  0.2500  0.5000  -0.10
Pt  0.2500  0.7500  0.5000  0.20

Values from the calculation:
formation energy from the elements	0.12	eV/atom
final energy	-6.9049	eV/atom
DOS at the Fermi energy	2.941	states/eV per cell

Density functional theory data (GGA-PBE) for crystalline NdHo2PbC at its relaxed geometry.

Unit cell a=5.1333 b=4.9051 c=4.9051 alpha=90.00 beta=90.00 gamma=90.00
Positions (direct):
Nd  0.5000  0.0000  0.0000
Ho  0.0000  0.0000  0.5000
Ho  0.0000  0.5000  0.0000
Pb  0.5000  0.5000  0.5000
C  0.0000  0.0000  0.0000

Values from the calculation:
formation energy from the elements	-0.49	eV/atom
final energy	-5.8614	eV/atom
DOS at the Fermi energy	2.188	states/eV per cell

Density functional theory data (GGA-PBE) for crystalline K2RbHgF8 at its relaxed geometry.

Unit cell a=4.7413 b=5.8645 c=8.7146 alpha=90.00 beta=89.99 gamma=96.90
Each line ends with the local moment (μB).
Positions (direct):
K  0.5000  0.5000  0.7808  0.00
K  0.5000  0.5000  0.2192  0.00
Rb  0.0000  0.0000  0.5000  0.00
Hg  0.0000  0.0000  0.0000  0.48
F  0.0737  0.7784  0.1904  0.24
F  0.6042  0.7956  0.0000  0.21
F  0.9262  0.2215  0.1904  0.24
F  0.9263  0.2216  0.8096  0.24
F  0.3958  0.2044  0.0000  0.21
F  0.0738  0.7785  0.8096  0.24
F  0.4876  0.6713  0.5000  0.45
F  0.5124  0.3287  0.5000  0.45

Values from the calculation:
final energy	-3.3485	eV/atom
formation energy without anion corrections	-1.81	eV per atom

Density functional theory data (GGA-PBE) for crystalline FeNi14Pd at its relaxed geometry.

Unit cell a=5.0392 b=5.0392 c=8.2129 alpha=90.00 beta=90.00 gamma=119.92
Each line ends with the local moment (μB).
Positions (direct):
Fe  0.0425  0.9575  0.5000  2.91
Ni  0.2082  0.7918  0.0000  0.73
Ni  0.7090  0.2910  0.0000  0.62
Ni  0.0422  0.4600  0.5000  0.73
Ni  0.2072  0.2908  0.0000  0.73
Ni  0.5400  0.9578  0.5000  0.73
Ni  0.7092  0.7928  0.0000  0.73
Ni  0.3722  0.1201  0.7550  0.72
Ni  0.3722  0.1201  0.2450  0.72
Ni  0.8799  0.6278  0.7550  0.72
Ni  0.8799  0.6278  0.2450  0.72
Ni  0.3727  0.6273  0.7557  0.74
Ni  0.3727  0.6273  0.2443  0.74
Ni  0.8753  0.1247  0.7489  0.73
Ni  0.8753  0.1247  0.2511  0.73
Pd  0.5414  0.4586  0.5000  0.30

Values from the calculation:
formation energy from the elements	0.01	eV/atom
final energy	-5.9013	eV/atom
DOS at the Fermi energy	23.834	states/eV per cell

Density functional theory data (GGA-PBE) for crystalline Ce4RhPb at its relaxed geometry.

Unit cell a=6.0011 b=7.7828 c=8.2374 alpha=109.50 beta=100.63 gamma=112.37
Positions (direct):
Ce  0.0435  0.1855  0.8268
Ce  0.8099  0.7521  0.6103
Ce  0.2833  0.6413  0.8268
Ce  0.3004  0.8582  0.6103
Ce  0.6996  0.1418  0.3897
Ce  0.7167  0.3587  0.1732
Ce  0.1901  0.2479  0.3897
Ce  0.9565  0.8145  0.1732
Rh  0.2594  0.0094  0.0188
Rh  0.7406  0.9906  0.9812
Pb  0.3615  0.6115  0.2231
Pb  0.6385  0.3885  0.7769

Values from the calculation:
formation energy from the elements	-0.37	eV/atom
final energy	-6.1706	eV/atom
DOS at the Fermi energy	23.973	states/eV per cell

Density functional theory data (GGA-PBE) for crystalline Pa6SiTe3P2 at its relaxed geometry.

Unit cell a=4.0750 b=8.5481 c=9.4866 alpha=107.20 beta=102.40 gamma=90.00
Positions (direct):
Pa  0.3400  0.8893  0.6800
Pa  0.6759  0.5595  0.3517
Pa  0.6600  0.1107  0.3200
Pa  0.0113  0.2334  0.0226
Pa  0.9887  0.7666  0.9774
Pa  0.3241  0.4405  0.6483
Si  0.5000  0.0000  0.0000
Te  0.5000  0.5000  0.0000
Te  0.8351  0.1666  0.6701
Te  0.1649  0.8334  0.3299
P  0.8322  0.6649  0.6644
P  0.1678  0.3351  0.3356

Values from the calculation:
final energy	-7.7659	eV/atom
formation energy without anion corrections	-0.88	eV per atom
DOS at the Fermi energy	20.619	states/eV per cell

Look up the final energy of the eleventh one.
-6.1706 eV/atom